Entry 1:
# LaCe2Rh9 (GGA-PBE, optimized geometry)
data_LaCe2Rh9
_symmetry_space_group_name_H-M 'P 1'
_symmetry_Int_Tables_number 1
_symmetry_space_group_name_Hall 'P 1'
_cell_length_a 9.354
_cell_length_b 9.354
_cell_length_c 9.354
_cell_angle_alpha 32.91
_cell_angle_beta 32.91
_cell_angle_gamma 32.91
loop_
_atom_site_label
_atom_site_fract_x
_atom_site_fract_y
_atom_site_fract_z
La1 0.000 0.000 0.000
Ce1 0.138 0.138 0.138
Ce2 0.862 0.862 0.862
Rh1 0.082 0.585 0.585
Rh2 0.333 0.333 0.333
Rh3 0.415 0.415 0.918
Rh4 0.415 0.918 0.415
Rh5 0.500 0.500 0.500
Rh6 0.585 0.082 0.585
Rh7 0.585 0.585 0.082
Rh8 0.667 0.667 0.667
Rh9 0.918 0.415 0.415
# ΔE_f: -6.8 eV per formula unit
# magnetization: 0.000 μB per formula unit
# space group: R-3m, No. 166
# DOS(E_F): 11.42 states/eV/cell

Entry 2:
# BaMg2HgPt (GGA-PBE, optimized geometry)
data_BaMg2HgPt
_symmetry_space_group_name_H-M 'P 1'
_symmetry_Int_Tables_number 1
_symmetry_space_group_name_Hall 'P 1'
_cell_length_a 5.155
_cell_length_b 5.155
_cell_length_c 6.020
_cell_angle_alpha 90.00
_cell_angle_beta 90.00
_cell_angle_gamma 90.00
loop_
_atom_site_label
_atom_site_fract_x
_atom_site_fract_y
_atom_site_fract_z
Ba1 0.000 0.000 0.000
Mg1 0.000 0.500 0.500
Mg2 0.500 0.000 0.500
Hg1 0.500 0.500 0.000
Pt1 0.000 0.000 0.500
# ΔE_f: -2.1 eV per formula unit
# magnetization: 0.000 μB per formula unit
# space group: P4/mmm, No. 123
# DOS(E_F): 2.06 states/eV/cell
# relative energy among the computed polymorphs: 8 meV/atom

Question: Which formula does entry 1 have?
Answer: LaCe2Rh9